# BaCa4Fe

Crystalline BaCa4Fe at its relaxed geometry (PBE-GGA, Alexandria).

Values from the calculation:
- DOS(E_F): 2.13 states/eV per atom
- Formation enthalpy at 0 K: 0.65 eV per atom
- Crystal system: cubic

```
6
Lattice="0.000 5.016 5.016 5.016 0.000 5.016 5.016 5.016 0.000" Properties=species:S:1:pos:R:3 pbc="T T T"
Ba 0.000 0.000 0.000
Ca 3.771 6.261 6.261
Ca 6.261 6.261 3.771
Ca 6.261 3.771 6.261
Ca 3.771 3.771 3.771
Fe 7.524 7.524 7.524
```


# Li3Tb3AsO8

Crystalline Li3Tb3AsO8 at its relaxed geometry (PBE-GGA, Alexandria).

Values from the calculation:
- Formation energy (no corrections): -2.46 eV per atom
- DOS(E_F): 0.09 states/eV per atom
- Crystal system: trigonal

```
15
Lattice="-4.504 4.418 -2.180 1.173 -5.568 -3.489 -2.829 -0.113 5.616" Properties=species:S:1:pos:R:3 pbc="T T T"
Li 0.000 0.000 0.000
Li 0.587 -2.784 -1.744
Li -1.665 -0.575 -2.834
Tb -3.667 2.152 1.718
Tb -3.080 -0.632 -0.027
Tb -0.828 -2.841 1.063
As -1.415 -0.057 2.808
O -1.300 -1.744 -0.847
O -4.860 0.479 0.793
O -3.640 0.302 -2.086
O -2.520 -1.566 2.033
O -3.123 -2.150 -3.623
O -3.037 0.886 3.569
O -0.602 -4.622 -2.403
O -5.558 3.358 2.349
```


# TaRe2Ru2

Crystalline TaRe2Ru2 at its relaxed geometry (PBE-GGA, Alexandria).

Values from the calculation:
- DOS(E_F): 0.85 states/eV per atom
- Formation enthalpy at 0 K: 0.06 eV per atom
- Crystal system: tetragonal
- Distance to the lowest polymorph of the same formula: 0.0 meV/atom

```
10
Lattice="7.513 0.000 0.000 0.000 7.513 0.000 0.000 0.000 2.768" Properties=species:S:1:pos:R:3 pbc="T T T"
Re 1.289 5.045 1.384
Re 5.045 6.224 1.384
Re 6.224 2.468 1.384
Re 2.468 1.289 1.384
Ru 2.824 6.581 0.000
Ru 6.581 4.689 0.000
Ru 4.689 0.932 0.000
Ru 0.932 2.824 0.000
Ta 0.000 0.000 0.000
Ta 3.756 3.756 0.000
```


no.,total moment (μB/f.u.)
1,3.25
2,0.00
3,0.00